Crystalline Nb6GaB at its relaxed geometry, computed with PBE.

Results
formation enthalpy at 0 K	-0.053	eV per atom
size of the total moment	0.00	μB per formula unit
crystal system	triclinic

Cell and atoms, written as CIF:
```
data_Nb6GaB
_chemical_formula_sum 'Nb6 Ga1 B1'
_space_group_name_H-M_alt 'P -1'
_space_group_IT_number 2
_space_group_name_Hall '-P 1'
_cell_length_a 4.999
_cell_length_b 5.108
_cell_length_c 5.811
_cell_angle_alpha 107.05
_cell_angle_beta 96.61
_cell_angle_gamma 102.04
loop_
_atom_site_label
_atom_site_fract_x
_atom_site_fract_y
_atom_site_fract_z
Nb1 0.106 0.210 0.226
Nb2 0.241 0.405 0.824
Nb3 0.335 0.748 0.461
Ga1 0.500 0.000 0.000
B1 0.000 0.000 0.500
```

---

Crystalline Nb2GaB2 at its relaxed geometry, computed with PBE.

Results
formation enthalpy at 0 K	-0.403	eV per atom
size of the total moment	0.00	μB per formula unit
crystal system	tetragonal

Cell and atoms, written as CIF:
```
data_Nb2GaB2
_chemical_formula_sum 'Nb4 Ga2 B4'
_space_group_name_H-M_alt 'P 4/m b m'
_space_group_IT_number 127
_space_group_name_Hall '-P 4 2ab'
_cell_length_a 5.959
_cell_length_b 5.959
_cell_length_c 3.415
_cell_angle_alpha 90.00
_cell_angle_beta 90.00
_cell_angle_gamma 90.00
loop_
_atom_site_label
_atom_site_fract_x
_atom_site_fract_y
_atom_site_fract_z
Nb1 0.178 0.322 0.000
Ga1 0.000 0.000 0.500
B1 0.103 0.603 0.500
```

---

Crystalline Nb2GaB at its relaxed geometry, computed with PBE.

Results
formation enthalpy at 0 K	0.275	eV per atom
size of the total moment	0.00	μB per formula unit
energy above the most stable polymorph in this dataset	2.83	eV per formula unit
crystal system	cubic

Cell and atoms, written as CIF:
```
data_Nb2GaB
_chemical_formula_sum 'Nb8 Ga4 B4'
_space_group_name_H-M_alt 'F m -3 m'
_space_group_IT_number 225
_space_group_name_Hall '-F 4 2 3'
_cell_length_a 6.142
_cell_length_b 6.142
_cell_length_c 6.142
_cell_angle_alpha 90.00
_cell_angle_beta 90.00
_cell_angle_gamma 90.00
loop_
_atom_site_label
_atom_site_fract_x
_atom_site_fract_y
_atom_site_fract_z
Nb1 0.250 0.250 0.250
Ga1 0.000 0.000 0.000
B1 0.000 0.000 0.500
```

---

Crystalline Nb4Ga2B at its relaxed geometry, computed with PBE.

Results
formation enthalpy at 0 K	-0.014	eV per atom
size of the total moment	0.00	μB per formula unit
energy above the most stable polymorph in this dataset	0.15	eV per formula unit
crystal system	monoclinic

Cell and atoms, written as CIF:
```
data_Nb4Ga2B
_chemical_formula_sum 'Nb4 Ga2 B1'
_space_group_name_H-M_alt 'P 1 2/m 1'
_space_group_IT_number 10
_space_group_name_Hall '-P 2y'
_cell_length_a 5.355
_cell_length_b 2.982
_cell_length_c 7.696
_cell_angle_alpha 90.00
_cell_angle_beta 109.39
_cell_angle_gamma 90.00
loop_
_atom_site_label
_atom_site_fract_x
_atom_site_fract_y
_atom_site_fract_z
Nb1 0.183 0.000 0.358
Nb2 0.243 0.500 0.005
Ga1 0.357 0.000 0.728
B1 0.500 0.500 0.500
```

---

Crystalline Nb2GaB at its relaxed geometry, computed with PBE.

Results
formation enthalpy at 0 K	-0.432	eV per atom
size of the total moment	0.00	μB per formula unit
energy above the most stable polymorph in this dataset	0.00	eV per formula unit
crystal system	monoclinic

Cell and atoms, written as CIF:
```
data_Nb2GaB
_chemical_formula_sum 'Nb4 Ga2 B2'
_space_group_name_H-M_alt 'C 1 2/m 1'
_space_group_IT_number 12
_space_group_name_Hall '-C 2y'
_cell_length_a 5.548
_cell_length_b 3.210
_cell_length_c 7.156
_cell_angle_alpha 90.00
_cell_angle_beta 105.03
_cell_angle_gamma 90.00
loop_
_atom_site_label
_atom_site_fract_x
_atom_site_fract_y
_atom_site_fract_z
Nb1 0.228 0.000 0.184
Ga1 0.000 0.000 0.500
B1 0.000 0.500 0.000
```

---

Crystalline Nb4Ga2B at its relaxed geometry, computed with PBE.

Results
formation enthalpy at 0 K	-0.035	eV per atom
size of the total moment	0.00	μB per formula unit
energy above the most stable polymorph in this dataset	0.00	eV per formula unit
crystal system	tetragonal

Cell and atoms, written as CIF:
```
data_Nb4Ga2B
_chemical_formula_sum 'Nb8 Ga4 B2'
_space_group_name_H-M_alt 'I 4/m m m'
_space_group_IT_number 139
_space_group_name_Hall '-I 4 2'
_cell_length_a 4.194
_cell_length_b 4.194
_cell_length_c 14.073
_cell_angle_alpha 90.00
_cell_angle_beta 90.00
_cell_angle_gamma 90.00
loop_
_atom_site_label
_atom_site_fract_x
_atom_site_fract_y
_atom_site_fract_z
Nb1 0.000 0.000 0.161
Nb2 0.000 0.500 0.000
Ga1 0.000 0.000 0.357
B1 0.000 0.000 0.000
```

---

Crystalline Nb6Ga2B at its relaxed geometry, computed with PBE.

Results
formation enthalpy at 0 K	-0.213	eV per atom
size of the total moment	0.00	μB per formula unit
crystal system	monoclinic

Cell and atoms, written as CIF:
```
data_Nb6Ga2B
_chemical_formula_sum 'Nb12 Ga4 B2'
_space_group_name_H-M_alt 'P 1 21/c 1'
_space_group_IT_number 14
_space_group_name_Hall '-P 2ybc'
_cell_length_a 5.389
_cell_length_b 6.768
_cell_length_c 9.840
_cell_angle_alpha 90.00
_cell_angle_beta 122.55
_cell_angle_gamma 90.00
loop_
_atom_site_label
_atom_site_fract_x
_atom_site_fract_y
_atom_site_fract_z
Nb1 0.098 0.171 0.452
Nb2 0.303 0.689 0.448
Nb3 0.325 0.009 0.228
Ga1 0.185 0.115 0.756
B1 0.500 0.000 0.500
```

---

Crystalline Nb4GaB at its relaxed geometry, computed with PBE.

Results
formation enthalpy at 0 K	0.010	eV per atom
size of the total moment	0.00	μB per formula unit
energy above the most stable polymorph in this dataset	2.56	eV per formula unit
crystal system	monoclinic

Cell and atoms, written as CIF:
```
data_Nb4GaB
_chemical_formula_sum 'Nb8 Ga2 B2'
_space_group_name_H-M_alt 'P 1 21/c 1'
_space_group_IT_number 14
_space_group_name_Hall '-P 2ybc'
_cell_length_a 5.960
_cell_length_b 5.862
_cell_length_c 5.829
_cell_angle_alpha 90.00
_cell_angle_beta 91.05
_cell_angle_gamma 90.00
loop_
_atom_site_label
_atom_site_fract_x
_atom_site_fract_y
_atom_site_fract_z
Nb1 0.110 0.155 0.161
Nb2 0.332 0.618 0.108
Ga1 0.500 0.000 0.000
B1 0.000 0.000 0.500
```

---

Crystalline Nb6Ga3B at its relaxed geometry, computed with PBE.

Results
formation enthalpy at 0 K	-0.183	eV per atom
size of the total moment	0.00	μB per formula unit
crystal system	monoclinic

Cell and atoms, written as CIF:
```
data_Nb6Ga3B
_chemical_formula_sum 'Nb12 Ga6 B2'
_space_group_name_H-M_alt 'P 1 21/c 1'
_space_group_IT_number 14
_space_group_name_Hall '-P 2ybc'
_cell_length_a 5.067
_cell_length_b 7.298
_cell_length_c 10.301
_cell_angle_alpha 90.00
_cell_angle_beta 118.47
_cell_angle_gamma 90.00
loop_
_atom_site_label
_atom_site_fract_x
_atom_site_fract_y
_atom_site_fract_z
Nb1 0.039 0.153 0.439
Nb2 0.348 0.708 0.432
Nb3 0.399 0.046 0.267
Ga1 0.000 0.000 0.000
Ga2 0.161 0.114 0.772
B1 0.500 0.000 0.500
```

---

Crystalline Nb8Ga2B at its relaxed geometry, computed with PBE.

Results
formation enthalpy at 0 K	-0.113	eV per atom
size of the total moment	0.00	μB per formula unit
crystal system	monoclinic

Cell and atoms, written as CIF:
```
data_Nb8Ga2B
_chemical_formula_sum 'Nb16 Ga4 B2'
_space_group_name_H-M_alt 'C 1 2/m 1'
_space_group_IT_number 12
_space_group_name_Hall '-C 2y'
_cell_length_a 15.475
_cell_length_b 4.528
_cell_length_c 5.608
_cell_angle_alpha 90.00
_cell_angle_beta 107.83
_cell_angle_gamma 90.00
loop_
_atom_site_label
_atom_site_fract_x
_atom_site_fract_y
_atom_site_fract_z
Nb1 0.011 0.000 0.254
Nb2 0.086 0.500 0.718
Nb3 0.135 0.500 0.276
Nb4 0.222 0.000 0.121
Ga1 0.175 0.000 0.609
B1 0.000 0.500 0.000
```

---

Crystalline Nb5Ga2B2 at its relaxed geometry, computed with PBE.

Results
formation enthalpy at 0 K	-0.407	eV per atom
size of the total moment	0.00	μB per formula unit
crystal system	orthorhombic

Cell and atoms, written as CIF:
```
data_Nb5Ga2B2
_chemical_formula_sum 'Nb20 Ga8 B8'
_space_group_name_H-M_alt 'C m c e'
_space_group_IT_number 64
_space_group_name_Hall '-C 2ac 2'
_cell_length_a 13.407
_cell_length_b 6.420
_cell_length_c 6.300
_cell_angle_alpha 90.00
_cell_angle_beta 90.00
_cell_angle_gamma 90.00
loop_
_atom_site_label
_atom_site_fract_x
_atom_site_fract_y
_atom_site_fract_z
Nb1 0.000 0.000 0.000
Nb2 0.115 0.178 0.320
Ga1 0.226 0.000 0.000
B1 0.000 0.103 0.605
```

---

Crystalline NbGa3B at its relaxed geometry, computed with PBE.

Results
formation enthalpy at 0 K	1.385	eV per atom
size of the total moment	0.00	μB per formula unit
energy above the most stable polymorph in this dataset	3.44	eV per formula unit
crystal system	cubic

Cell and atoms, written as CIF:
```
data_NbGa3B
_chemical_formula_sum 'Nb1 Ga3 B1'
_space_group_name_H-M_alt 'P m -3 m'
_space_group_IT_number 221
_space_group_name_Hall '-P 4 2 3'
_cell_length_a 5.037
_cell_length_b 5.037
_cell_length_c 5.037
_cell_angle_alpha 90.00
_cell_angle_beta 90.00
_cell_angle_gamma 90.00
loop_
_atom_site_label
_atom_site_fract_x
_atom_site_fract_y
_atom_site_fract_z
Nb1 0.000 0.000 0.000
Ga1 0.000 0.000 0.500
B1 0.500 0.500 0.500
```

---

Crystalline NbGaB at its relaxed geometry, computed with PBE.

Results
formation enthalpy at 0 K	0.187	eV per atom
size of the total moment	0.00	μB per formula unit
crystal system	orthorhombic

Cell and atoms, written as CIF:
```
data_NbGaB
_chemical_formula_sum 'Nb4 Ga4 B4'
_space_group_name_H-M_alt 'I m m m'
_space_group_IT_number 71
_space_group_name_Hall '-I 2 2'
_cell_length_a 3.076
_cell_length_b 4.877
_cell_length_c 11.641
_cell_angle_alpha 90.00
_cell_angle_beta 90.00
_cell_angle_gamma 90.00
loop_
_atom_site_label
_atom_site_fract_x
_atom_site_fract_y
_atom_site_fract_z
Nb1 0.000 0.000 0.139
Ga1 0.000 0.000 0.371
B1 0.000 0.329 0.000
```

---

Crystalline NbGa3B at its relaxed geometry, computed with PBE.

Results
formation enthalpy at 0 K	0.697	eV per atom
size of the total moment	0.22	μB per formula unit
energy above the most stable polymorph in this dataset	0.00	eV per formula unit
crystal system	cubic

Cell and atoms, written as CIF:
```
data_NbGa3B
_chemical_formula_sum 'Nb1 Ga3 B1'
_space_group_name_H-M_alt 'P m -3 m'
_space_group_IT_number 221
_space_group_name_Hall '-P 4 2 3'
_cell_length_a 4.296
_cell_length_b 4.296
_cell_length_c 4.296
_cell_angle_alpha 90.00
_cell_angle_beta 90.00
_cell_angle_gamma 90.00
loop_
_atom_site_label
_atom_site_fract_x
_atom_site_fract_y
_atom_site_fract_z
Nb1 0.000 0.000 0.000
Ga1 0.000 0.500 0.500
B1 0.500 0.500 0.500
```

---

Crystalline Nb2GaB at its relaxed geometry, computed with PBE.

Results
formation enthalpy at 0 K	-0.001	eV per atom
size of the total moment	0.00	μB per formula unit
energy above the most stable polymorph in this dataset	1.73	eV per formula unit
crystal system	tetragonal

Cell and atoms, written as CIF:
```
data_Nb2GaB
_chemical_formula_sum 'Nb8 Ga4 B4'
_space_group_name_H-M_alt 'I -4 2 d'
_space_group_IT_number 122
_space_group_name_Hall 'I -4 2bw'
_cell_length_a 6.623
_cell_length_b 6.623
_cell_length_c 5.554
_cell_angle_alpha 90.00
_cell_angle_beta 90.00
_cell_angle_gamma 90.00
loop_
_atom_site_label
_atom_site_fract_x
_atom_site_fract_y
_atom_site_fract_z
Nb1 0.213 0.250 0.125
Ga1 0.000 0.000 0.500
B1 0.000 0.000 0.000
```

---

Crystalline Nb4GaB at its relaxed geometry, computed with PBE.

Results
formation enthalpy at 0 K	-0.416	eV per atom
size of the total moment	0.00	μB per formula unit
energy above the most stable polymorph in this dataset	0.00	eV per formula unit
crystal system	tetragonal

Cell and atoms, written as CIF:
```
data_Nb4GaB
_chemical_formula_sum 'Nb8 Ga2 B2'
_space_group_name_H-M_alt 'P 4/m c c'
_space_group_IT_number 124
_space_group_name_Hall '-P 4 2c'
_cell_length_a 6.075
_cell_length_b 6.075
_cell_length_c 5.084
_cell_angle_alpha 90.00
_cell_angle_beta 90.00
_cell_angle_gamma 90.00
loop_
_atom_site_label
_atom_site_fract_x
_atom_site_fract_y
_atom_site_fract_z
Nb1 0.139 0.316 0.000
Ga1 0.500 0.500 0.250
B1 0.000 0.000 0.250
```

---

Crystalline NbGaBOs2 at its relaxed geometry, computed with PBE.

Results
formation enthalpy at 0 K	2.587	eV per atom
size of the total moment	0.00	μB per formula unit
crystal system	tetragonal

Cell and atoms, written as CIF:
```
data_NbGaBOs2
_chemical_formula_sum 'Nb1 Ga1 B1 Os2'
_space_group_name_H-M_alt 'P 4/m m m'
_space_group_IT_number 123
_space_group_name_Hall '-P 4 2'
_cell_length_a 4.747
_cell_length_b 4.747
_cell_length_c 5.065
_cell_angle_alpha 90.00
_cell_angle_beta 90.00
_cell_angle_gamma 90.00
loop_
_atom_site_label
_atom_site_fract_x
_atom_site_fract_y
_atom_site_fract_z
Nb1 0.000 0.000 0.000
Ga1 0.000 0.000 0.500
B1 0.500 0.500 0.500
Os1 0.000 0.500 0.000
```

---

Crystalline NbGaBP2 at its relaxed geometry, computed with PBE.

Results
formation enthalpy at 0 K	1.155	eV per atom
size of the total moment	0.00	μB per formula unit
crystal system	tetragonal

Cell and atoms, written as CIF:
```
data_NbGaBP2
_chemical_formula_sum 'Nb1 Ga1 B1 P2'
_space_group_name_H-M_alt 'P 4/m m m'
_space_group_IT_number 123
_space_group_name_Hall '-P 4 2'
_cell_length_a 4.775
_cell_length_b 4.775
_cell_length_c 3.700
_cell_angle_alpha 90.00
_cell_angle_beta 90.00
_cell_angle_gamma 90.00
loop_
_atom_site_label
_atom_site_fract_x
_atom_site_fract_y
_atom_site_fract_z
Nb1 0.000 0.000 0.000
Ga1 0.500 0.500 0.500
B1 0.500 0.500 0.000
P1 0.000 0.500 0.500
```

---

Crystalline NbGa2BSb at its relaxed geometry, computed with PBE.

Results
size of the total moment	0.00	μB per formula unit
crystal system	tetragonal
formation energy without anion corrections	1944	meV per atom

Cell and atoms, written as CIF:
```
data_NbGa2BSb
_chemical_formula_sum 'Nb1 Ga2 B1 Sb1'
_space_group_name_H-M_alt 'P 4/m m m'
_space_group_IT_number 123
_space_group_name_Hall '-P 4 2'
_cell_length_a 5.166
_cell_length_b 5.166
_cell_length_c 5.262
_cell_angle_alpha 90.00
_cell_angle_beta 90.00
_cell_angle_gamma 90.00
loop_
_atom_site_label
_atom_site_fract_x
_atom_site_fract_y
_atom_site_fract_z
Nb1 0.000 0.000 0.000
Ga1 0.000 0.500 0.500
B1 0.500 0.500 0.000
Sb1 0.000 0.000 0.500
```

---

Crystalline NbGaBSe2 at its relaxed geometry, computed with PBE.

Results
size of the total moment	2.70	μB per formula unit
crystal system	tetragonal
formation energy without anion corrections	851	meV per atom

Cell and atoms, written as CIF:
```
data_NbGaBSe2
_chemical_formula_sum 'Nb1 Ga1 B1 Se2'
_space_group_name_H-M_alt 'P 4/m m m'
_space_group_IT_number 123
_space_group_name_Hall '-P 4 2'
_cell_length_a 5.129
_cell_length_b 5.129
_cell_length_c 3.830
_cell_angle_alpha 90.00
_cell_angle_beta 90.00
_cell_angle_gamma 90.00
loop_
_atom_site_label
_atom_site_fract_x
_atom_site_fract_y
_atom_site_fract_z
Nb1 0.000 0.000 0.000
Ga1 0.500 0.500 0.500
B1 0.500 0.500 0.000
Se1 0.000 0.500 0.500
```